The following is a DFT calculation (PBE+U) of an optimized crystal structure of VReO4.

Cell: 6.620 6.854 2.925 Å, 90.00 90.00 90.00°
Space group Cmmm (No. 65)
Inequivalent atoms, fractional coordinates:
1 V 0.000 0.000 0.000 x2
2 Re 0.000 0.500 0.500 x2
3 O 0.000 0.294 0.000 x4
4 O 0.212 0.000 0.500 x4

Summary:
Energy above the lowest structure with this stoichiometry, eV/atom: 0.072
Theoretical density, g/cm³: 7.5
VASP energy, eV per atom: -8.30
Fermi-level density of states, states/eV/f.u.: 2.5